Entry from Alexandria via LeMat-Bulk: a relaxed Zr5Zn3 crystal (PBE-GGA).

Cell lengths 7.154, 6.163, 5.757 Å; angles 73.68, 55.77, 50.55 degrees
Element x y z (fractional)
Zr (0.000, 0.000, 0.000)
Zr (0.421, 0.421, 0.079)
Zr (0.456, 0.891, 0.109)
Zr (0.891, 0.456, 0.544)
Zr (0.921, 0.921, 0.579)
Zn (0.053, 0.462, 0.947)
Zn (0.462, 0.053, 0.538)
Zn (0.485, 0.485, 0.515)

As for the symmetry: Fmm2 (42). The energy above the most stable polymorph in this dataset comes out at 0.093 eV/atom. As for the energy of formation from the pure elements: -0.11 eV per atom. As for the density: 6.733 g/cm³.



Entry from Alexandria via LeMat-Bulk: a relaxed ZrZn3 crystal (PBE-GGA).

Cell lengths 4.204, 4.204, 15.178 Å; angles 90.00, 90.00, 90.00 degrees
Element x y z (fractional)
Zr (0.000, 0.000, 0.126)
Zr (0.000, 0.000, 0.874)
Zr (0.500, 0.500, 0.374)
Zr (0.500, 0.500, 0.626)
Zn (0.000, 0.000, 0.366)
Zn (0.000, 0.000, 0.634)
Zn (0.000, 0.500, 0.000)
Zn (0.000, 0.500, 0.250)
Zn (0.000, 0.500, 0.500)
Zn (0.000, 0.500, 0.750)
Zn (0.500, 0.000, 0.000)
Zn (0.500, 0.000, 0.250)
Zn (0.500, 0.000, 0.500)
Zn (0.500, 0.000, 0.750)
Zn (0.500, 0.500, 0.134)
Zn (0.500, 0.500, 0.866)

As for the symmetry: I4/mmm (139). As for the energy of formation from the pure elements: -0.22 eV per atom. As for the density: 7.117 g/cm³.



Entry from Alexandria via LeMat-Bulk: a relaxed ZrZn4 crystal (PBE-GGA).

Cell lengths 6.343, 6.343, 6.343 Å; angles 90.00, 90.00, 90.00 degrees
Element x y z (fractional)
Zr (0.000, 0.000, 0.000)
Zr (0.500, 0.500, 0.500)
Zn (0.250, 0.250, 0.250)
Zn (0.250, 0.250, 0.750)
Zn (0.250, 0.750, 0.250)
Zn (0.250, 0.750, 0.750)
Zn (0.750, 0.250, 0.250)
Zn (0.750, 0.250, 0.750)
Zn (0.750, 0.750, 0.250)
Zn (0.750, 0.750, 0.750)

As for the symmetry: Im-3m (229). As for the energy of formation from the pure elements: 0.58 eV per atom. As for the density: 4.593 g/cm³.



Entry from Alexandria via LeMat-Bulk: a relaxed Zr7Zn crystal (PBE-GGA).

Cell lengths 6.312, 6.312, 6.312 Å; angles 60.00, 60.00, 60.00 degrees
Element x y z (fractional)
Zr (0.000, 0.000, 0.000)
Zr (0.000, 0.000, 0.500)
Zr (0.000, 0.500, 0.000)
Zr (0.000, 0.500, 0.500)
Zr (0.500, 0.000, 0.000)
Zr (0.500, 0.000, 0.500)
Zr (0.500, 0.500, 0.000)
Zn (0.500, 0.500, 0.500)

As for the symmetry: Fm-3m (225). The energy above the most stable polymorph in this dataset comes out at 0.061 eV/atom. As for the energy of formation from the pure elements: 0.03 eV per atom. As for the density: 6.574 g/cm³.



Entry from Alexandria via LeMat-Bulk: a relaxed Zr5Zn24 crystal (PBE-GGA).

Cell lengths 8.475, 8.475, 8.475 Å; angles 109.47, 109.47, 109.47 degrees
Element x y z (fractional)
Zr (0.000, 0.000, 0.000)
Zr (0.000, 0.000, 0.386)
Zr (0.000, 0.386, 0.000)
Zr (0.386, 0.000, 0.000)
Zr (0.614, 0.614, 0.614)
Zn (0.000, 0.324, 0.622)
Zn (0.000, 0.622, 0.324)
Zn (0.000, 0.630, 0.808)
Zn (0.000, 0.808, 0.630)
Zn (0.177, 0.370, 0.370)
Zn (0.192, 0.192, 0.823)
Zn (0.192, 0.823, 0.192)
Zn (0.298, 0.676, 0.676)
Zn (0.324, 0.000, 0.622)
Zn (0.324, 0.622, 0.000)
Zn (0.370, 0.177, 0.370)
Zn (0.370, 0.370, 0.177)
Zn (0.378, 0.378, 0.702)
Zn (0.378, 0.702, 0.378)
Zn (0.622, 0.000, 0.324)
Zn (0.622, 0.324, 0.000)
Zn (0.630, 0.000, 0.808)
Zn (0.630, 0.808, 0.000)
Zn (0.676, 0.298, 0.676)
Zn (0.676, 0.676, 0.298)
Zn (0.702, 0.378, 0.378)
Zn (0.808, 0.000, 0.630)
Zn (0.808, 0.630, 0.000)
Zn (0.823, 0.192, 0.192)

As for the symmetry: I-43m (217). As for the energy of formation from the pure elements: -0.18 eV per atom. As for the density: 7.180 g/cm³.



Entry from Alexandria via LeMat-Bulk: a relaxed ZrZn4 crystal (PBE-GGA).

Cell lengths 7.520, 7.520, 7.520 Å; angles 147.15, 134.13, 57.56 degrees
Element x y z (fractional)
Zr (0.359, 0.109, 0.250)
Zr (0.641, 0.891, 0.750)
Zn (0.000, 0.500, 0.500)
Zn (0.139, 0.889, 0.250)
Zn (0.193, 0.699, 0.495)
Zn (0.296, 0.301, 0.995)
Zn (0.500, 0.500, 0.000)
Zn (0.704, 0.699, 0.005)
Zn (0.807, 0.301, 0.505)
Zn (0.861, 0.111, 0.750)

As for the symmetry: Imma (74). As for the energy of formation from the pure elements: -0.22 eV per atom. As for the density: 7.135 g/cm³.